(1)
First-principles (GGA-PBE) data for an optimized crystal structure of SiPt, as listed in Alexandria.

Calculated values
ρ = 9.7 g/cm3
E_form (uncorrected) = -0.37 eV per atom
magnetization = 0.00 μB/f.u.

Lattice parameters (Å, degrees): 5.862 5.862 4.465 90.00 90.00 90.00
Fractional coordinates of all 8 atoms:
Si (0.314, 0.686, 0.000)
Si (0.814, 0.814, 0.500)
Si (0.186, 0.186, 0.500)
Si (0.686, 0.314, 0.000)
Pt (0.284, 0.284, 0.000)
Pt (0.784, 0.216, 0.500)
Pt (0.216, 0.784, 0.500)
Pt (0.716, 0.716, 0.000)

(2)
First-principles (GGA-PBE) data for an optimized crystal structure of SiPt, as listed in Alexandria.

Calculated values
ρ = 11.1 g/cm3
E_form (uncorrected) = -0.26 eV per atom
magnetization = 0.00 μB/f.u.

Lattice parameters (Å, degrees): 5.186 5.186 5.186 46.49 46.49 46.49
Fractional coordinates of all 4 atoms:
Pt (0.101, 0.101, 0.101)
Pt (0.899, 0.899, 0.899)
Si (0.278, 0.278, 0.278)
Si (0.722, 0.722, 0.722)

(3)
First-principles (GGA-PBE) data for an optimized crystal structure of SiPt, as listed in Alexandria.

Calculated values
ρ = 12.1 g/cm3
E_form (uncorrected) = -0.18 eV per atom
magnetization = 0.00 μB/f.u.

Lattice parameters (Å, degrees): 3.005 3.005 7.801 90.00 90.00 120.00
Fractional coordinates of all 4 atoms:
Pt (0.000, 0.000, 0.972)
Pt (0.667, 0.333, 0.278)
Si (0.000, 0.000, 0.499)
Si (0.667, 0.333, 0.751)

(4)
First-principles (GGA-PBE) data for an optimized crystal structure of SiPt, as listed in Alexandria.

Calculated values
ρ = 10.7 g/cm3
E_form (uncorrected) = -0.53 eV per atom
magnetization = 0.00 μB/f.u.

Lattice parameters (Å, degrees): 4.628 7.276 4.373 90.00 109.66 90.00
Fractional coordinates of all 8 atoms:
Si (0.750, 0.029, 0.750)
Si (0.250, 0.971, 0.250)
Si (0.750, 0.529, 0.250)
Si (0.250, 0.471, 0.750)
Pt (0.750, 0.369, 0.750)
Pt (0.250, 0.631, 0.250)
Pt (0.750, 0.869, 0.250)
Pt (0.250, 0.131, 0.750)

(5)
First-principles (GGA-PBE) data for an optimized crystal structure of Si5Pt6, as listed in Alexandria.

Calculated values
ρ = 12.7 g/cm3
E_form (uncorrected) = -0.69 eV per atom
magnetization = 0.00 μB/f.u.

Lattice parameters (Å, degrees): 3.537 6.245 15.567 86.54 90.00 90.00
Fractional coordinates of all 22 atoms:
Pt (0.250, 0.803, 0.998)
Pt (0.750, 0.197, 0.002)
Pt (0.250, 0.719, 0.822)
Pt (0.750, 0.281, 0.178)
Pt (0.750, 0.341, 0.826)
Pt (0.250, 0.659, 0.174)
Pt (0.750, 0.008, 0.719)
Pt (0.250, 0.992, 0.281)
Pt (0.750, 0.851, 0.552)
Pt (0.250, 0.149, 0.448)
Pt (0.250, 0.471, 0.577)
Pt (0.750, 0.529, 0.423)
Si (0.750, 0.945, 0.881)
Si (0.250, 0.055, 0.119)
Si (0.250, 0.435, 0.936)
Si (0.750, 0.565, 0.064)
Si (0.250, 0.768, 0.665)
Si (0.750, 0.232, 0.335)
Si (0.250, 0.314, 0.720)
Si (0.750, 0.686, 0.280)
Si (0.750, 0.221, 0.573)
Si (0.250, 0.779, 0.427)

(6)
First-principles (GGA-PBE) data for an optimized crystal structure of SiPt, as listed in Alexandria.

Calculated values
ρ = 8.2 g/cm3
E_form (uncorrected) = -0.34 eV per atom
magnetization = 0.00 μB/f.u.

Lattice parameters (Å, degrees): 5.838 12.845 9.613 90.00 90.00 90.00
Fractional coordinates of all 32 atoms:
Si (0.000, 0.000, 0.799)
Si (0.000, 0.000, 0.201)
Si (0.250, 0.750, 0.451)
Si (0.250, 0.750, 0.049)
Si (0.000, 0.500, 0.299)
Si (0.000, 0.500, 0.701)
Si (0.250, 0.250, 0.951)
Si (0.250, 0.250, 0.549)
Si (0.500, 0.000, 0.299)
Si (0.500, 0.000, 0.701)
Si (0.750, 0.750, 0.951)
Si (0.750, 0.750, 0.549)
Si (0.500, 0.500, 0.799)
Si (0.500, 0.500, 0.201)
Si (0.750, 0.250, 0.451)
Si (0.750, 0.250, 0.049)
Pt (0.000, 0.113, 0.000)
Pt (0.000, 0.887, 0.000)
Pt (0.250, 0.637, 0.250)
Pt (0.250, 0.863, 0.250)
Pt (0.000, 0.613, 0.500)
Pt (0.000, 0.387, 0.500)
Pt (0.250, 0.137, 0.750)
Pt (0.250, 0.363, 0.750)
Pt (0.500, 0.113, 0.500)
Pt (0.500, 0.887, 0.500)
Pt (0.750, 0.637, 0.750)
Pt (0.750, 0.863, 0.750)
Pt (0.500, 0.613, 0.000)
Pt (0.500, 0.387, 0.000)
Pt (0.750, 0.137, 0.250)
Pt (0.750, 0.363, 0.250)

(7)
First-principles (GGA-PBE) data for an optimized crystal structure of SiPt5, as listed in Alexandria.

Calculated values
ρ = 18.2 g/cm3
E_form (uncorrected) = -0.28 eV per atom
energy above the most stable polymorph in this dataset = 0.0000 eV per atom
magnetization = 0.00 μB/f.u.

Lattice parameters (Å, degrees): 5.118 5.118 7.051 68.61 68.61 32.36
Fractional coordinates of all 6 atoms:
Pt (0.942, 0.942, 0.034)
Pt (0.306, 0.306, 0.389)
Pt (0.669, 0.669, 0.743)
Pt (0.631, 0.631, 0.196)
Pt (0.980, 0.980, 0.582)
Si (0.305, 0.305, 0.889)

(8)
First-principles (GGA-PBE) data for an optimized crystal structure of SiPt, as listed in Alexandria.

Calculated values
ρ = 11.3 g/cm3
E_form (uncorrected) = -0.62 eV per atom
magnetization = 0.00 μB/f.u.

Lattice parameters (Å, degrees): 5.391 4.023 6.586 90.00 112.70 90.00
Fractional coordinates of all 8 atoms:
Si (0.666, 0.000, 0.377)
Si (0.334, 0.000, 0.623)
Si (0.666, 0.500, 0.877)
Si (0.334, 0.500, 0.123)
Pt (0.176, 0.000, 0.230)
Pt (0.824, 0.000, 0.770)
Pt (0.176, 0.500, 0.730)
Pt (0.824, 0.500, 0.270)

(9)
First-principles (GGA-PBE) data for an optimized crystal structure of SiPt, as listed in Alexandria.

Calculated values
ρ = 7.5 g/cm3
E_form (uncorrected) = -0.31 eV per atom
magnetization = 0.00 μB/f.u.

Lattice parameters (Å, degrees): 7.343 7.343 7.343 90.00 90.00 90.00
Fractional coordinates of all 16 atoms:
Si (0.181, 0.181, 0.181)
Si (0.181, 0.819, 0.819)
Si (0.819, 0.181, 0.819)
Si (0.819, 0.819, 0.181)
Si (0.681, 0.681, 0.681)
Si (0.681, 0.319, 0.319)
Si (0.319, 0.681, 0.319)
Si (0.319, 0.319, 0.681)
Pt (0.359, 0.359, 0.359)
Pt (0.359, 0.641, 0.641)
Pt (0.641, 0.359, 0.641)
Pt (0.641, 0.641, 0.359)
Pt (0.859, 0.859, 0.859)
Pt (0.859, 0.141, 0.141)
Pt (0.141, 0.859, 0.141)
Pt (0.141, 0.141, 0.859)

(10)
First-principles (GGA-PBE) data for an optimized crystal structure of Si6Pt7, as listed in Alexandria.

Calculated values
ρ = 11.7 g/cm3
E_form (uncorrected) = -0.27 eV per atom
magnetization = 0.00 μB/f.u.

Lattice parameters (Å, degrees): 9.318 9.318 9.318 33.37 33.37 33.37
Fractional coordinates of all 13 atoms:
Si (0.906, 0.906, 0.906)
Si (0.094, 0.094, 0.094)
Si (0.818, 0.818, 0.818)
Si (0.182, 0.182, 0.182)
Si (0.668, 0.668, 0.668)
Si (0.332, 0.332, 0.332)
Pt (0.925, 0.427, 0.427)
Pt (0.427, 0.427, 0.925)
Pt (0.427, 0.925, 0.427)
Pt (0.075, 0.573, 0.573)
Pt (0.573, 0.075, 0.573)
Pt (0.573, 0.573, 0.075)
Pt (0.500, 0.500, 0.500)

(11)
First-principles (GGA-PBE) data for an optimized crystal structure of SiPt, as listed in Alexandria.

Calculated values
ρ = 9.3 g/cm3
E_form (uncorrected) = -0.61 eV per atom
magnetization = 0.00 μB/f.u.

Lattice parameters (Å, degrees): 8.288 8.288 4.664 90.00 90.00 90.00
Fractional coordinates of all 16 atoms:
Si (0.614, 0.114, 0.000)
Si (0.614, 0.886, 0.500)
Si (0.386, 0.114, 0.500)
Si (0.386, 0.886, 0.000)
Si (0.886, 0.386, 0.500)
Si (0.886, 0.614, 0.000)
Si (0.114, 0.386, 0.000)
Si (0.114, 0.614, 0.500)
Pt (0.825, 0.325, 0.000)
Pt (0.825, 0.675, 0.500)
Pt (0.175, 0.325, 0.500)
Pt (0.175, 0.675, 0.000)
Pt (0.675, 0.175, 0.500)
Pt (0.675, 0.825, 0.000)
Pt (0.325, 0.175, 0.000)
Pt (0.325, 0.825, 0.500)

(12)
First-principles (GGA-PBE) data for an optimized crystal structure of SiPt5, as listed in Alexandria.

Calculated values
ρ = 17.9 g/cm3
E_form (uncorrected) = -0.23 eV per atom
energy above the most stable polymorph in this dataset = 0.0522 eV per atom
magnetization = 0.00 μB/f.u.

Lattice parameters (Å, degrees): 7.185 7.185 4.652 90.00 90.00 157.16
Fractional coordinates of all 6 atoms:
Si (0.000, 0.000, 0.500)
Pt (0.830, 0.170, 0.000)
Pt (0.170, 0.830, 0.000)
Pt (0.500, 0.500, 0.000)
Pt (0.357, 0.643, 0.500)
Pt (0.643, 0.357, 0.500)